# Tb5PmRu3 (PBE, relaxed)
data_Tb5PmRu3
_chemical_formula_sum 'Tb10 Pm2 Ru6'
_space_group_name_H-M_alt 'P 1'
_space_group_IT_number 1
_space_group_name_Hall 'P 1'
_cell_length_a 7.677
_cell_length_b 7.677
_cell_length_c 10.040
_cell_angle_alpha 108.25
_cell_angle_beta 108.25
_cell_angle_gamma 72.30
loop_
_atom_site_label
_atom_site_type_symbol
_atom_site_fract_x
_atom_site_fract_y
_atom_site_fract_z
Tb1 Tb 0.070 0.070 0.370
Tb2 Tb 0.137 0.535 0.330
Tb3 Tb 0.197 0.803 0.000
Tb4 Tb 0.267 0.267 0.967
Tb5 Tb 0.465 0.863 0.670
Tb6 Tb 0.535 0.137 0.330
Tb7 Tb 0.733 0.733 0.033
Tb8 Tb 0.803 0.197 0.000
Tb9 Tb 0.863 0.465 0.670
Tb10 Tb 0.930 0.930 0.630
Pm1 Pm 0.395 0.395 0.699
Pm2 Pm 0.605 0.605 0.301
Ru1 Ru 0.162 0.162 0.669
Ru2 Ru 0.168 0.168 0.167
Ru3 Ru 0.500 0.500 0.000
Ru4 Ru 0.500 0.500 0.500
Ru5 Ru 0.832 0.832 0.833
Ru6 Ru 0.838 0.838 0.331
# Electronic total energy (eV/f.u.): -57.52
# Mass density (g/cm3): 7.94
# E_form (eV/atom): -0.199
# Total moment (μB/cell): 0.000